[1]
# AsWCl2

Crystalline AsWCl2 at its relaxed geometry (PBE, the Alexandria database).

The space group is Cmm2 (No. 35) and the conventional cell measures 3.2461, 5.4453 and 9.2910 Å, with angles of 90.00, 90.00 and 90.00 degrees. The inequivalent atoms are As at (0.0000, 0.0000, 0.0000), W at (0.0000, 0.5000, 0.2091), Cl at (0.0000, 0.0000, 0.4119) and Cl at (0.0000, 0.5000, 0.7728).

Its density of states at the Fermi level is 6.1 states/eV/cell. Its magnetization is 0.000 μB per formula unit. As for the uncorrected formation energy: 0.289 eV per atom. The excess energy over the best structure of this formula in the dataset comes out at 540 meV/atom.

[2]
# Cs2InIBr3

Crystalline Cs2InIBr3 at its relaxed geometry (PBE, the Alexandria database).

The space group is Immm (No. 71) and the conventional cell measures 5.7632, 5.9941 and 18.5411 Å, with angles of 90.00, 90.00 and 90.00 degrees. The inequivalent atoms are Cs at (0.0000, 0.0000, 0.1461), In at (0.0000, 0.0000, 0.5000), I at (0.0000, 0.5000, 0.5000), Br at (0.0000, 0.0000, 0.3396) and Br at (0.0000, 0.5000, 0.0000).

Its density of states at the Fermi level is 3.9 states/eV/cell. Its magnetization is 0.000 μB per formula unit. As for the uncorrected formation energy: -1.281 eV per atom.

Which formula does entry 2 have?
Cs2InIBr3